Record 1
In3Ag4Au4: relaxed, GGA-PBE.

The structure belongs to space group Immm (No. 71); the cell edges are 3.051, 7.879 and 18.350 Å and the angles 90.00°, 90.00° and 90.00°. The distinct sites, in fractional coordinates, are In at (0.000, 0.000, 0.000), In at (0.000, 0.500, 0.114), Ag at (0.000, 0.318, 0.351), Au at (0.000, 0.000, 0.255) and Au at (0.000, 0.190, 0.500).

As for the formation energy: -33 meV per atom. The energy above the lowest structure with this stoichiometry comes out at 50 meV per atom.

=====

Record 2
Be2OsO2: relaxed, GGA-PBE.

The structure belongs to space group P4/mbm (No. 127); the cell edges are 5.832, 5.832 and 2.964 Å and the angles 90.00°, 90.00° and 90.00°. The distinct sites, in fractional coordinates, are Be at (0.205, 0.295, 0.000), Os at (0.000, 0.000, 0.500) and O at (0.157, 0.343, 0.500).

For the formation energy (no corrections), the calculation gives -0.849 eV per atom. The energy above the lowest structure with this stoichiometry comes out at 73 meV per atom.

=====

Record 3
SrSi4Ni2: relaxed, GGA-PBE.

The structure belongs to space group C2/m (No. 12); the cell edges are 7.369, 5.441 and 6.919 Å and the angles 90.00°, 108.11° and 90.00°. The distinct sites, in fractional coordinates, are Sr at (0.000, 0.000, 0.000), Si at (0.162, 0.227, 0.636) and Ni at (0.069, 0.500, 0.345).

For the formation energy (no corrections), the calculation gives -0.231 eV per atom.

=====

Results for total magnetization: 0.00, 0.00, 0.00 (in μB/f.u., following the order of the records).
Results for N(E_F): 0.200, 0.077, 0.439 (in states/eV/atom, following the order of the records).